# 1
Np2TcO8 | PBE | relaxed

Computed properties:
ΔE_f (raw) = -2.09 eV/atom
space-group type = C2/m (12)

a = 3.8639 Å, b = 5.7685 Å, c = 6.6166 Å
α = 99.06°, β = 90.00°, γ = 109.57°
With the nearest neighbours (Å) after each atom.
Fractional coordinates of all 11 atoms:
1 O 0.5585 0.1170 0.7287  1 Np 2.00, 1 Tc 2.00
2 O 0.6920 0.3840 0.0687  1 Tc 2.06
3 O 0.1996 0.3992 0.5682  3 Np 2.21-2.24, 2 O 2.47
4 O 0.0688 0.1376 0.1550  1 Np 2.05, 2 Tc 2.26
5 O 0.4415 0.8830 0.2713  1 Np 2.00, 1 Tc 2.00
6 O 0.3080 0.6160 0.9313  1 Tc 2.06
7 O 0.8004 0.6008 0.4318  3 Np 2.21-2.24, 2 O 2.47
8 O 0.9312 0.8624 0.8450  1 Np 2.05, 2 Tc 2.26
9 Np 0.2567 0.5134 0.2636  5 O 2.00-2.24
10 Np 0.7433 0.4866 0.7364  5 O 2.00-2.24
11 Tc 0.5000 0.0000 0.0000  4 O 2.00-2.06

# 2
Th3As4 | PBE | relaxed

Computed properties:
energy relative to the elements = -1.34 eV/atom
space-group type = I-43d (220)

a = 7.7084 Å, b = 7.7084 Å, c = 7.7084 Å
α = 109.47°, β = 109.47°, γ = 109.47°
With the nearest neighbours (Å) after each atom.
Fractional coordinates of all 14 atoms:
1 Th 0.1250 0.7500 0.8750  8 As 3.04-3.12
2 Th 0.7500 0.8750 0.1250  8 As 3.04-3.12
3 Th 0.6250 0.3750 0.2500  8 As 3.04-3.12
4 Th 0.8750 0.1250 0.7500  8 As 3.04-3.12
5 Th 0.2500 0.6250 0.3750  8 As 3.04-3.12
6 Th 0.3750 0.2500 0.6250  8 As 3.04-3.12
7 As 0.0000 0.8420 0.5000  6 Th 3.04-3.12, 3 As 3.35
8 As 0.0000 0.3420 0.5000  6 Th 3.04-3.12, 3 As 3.35
9 As 0.1580 0.1580 0.1580  6 Th 3.04-3.12, 3 As 3.35
10 As 0.6580 0.6580 0.6580  6 Th 3.04-3.12, 3 As 3.35
11 As 0.5000 0.0000 0.3420  6 Th 3.04-3.12, 3 As 3.35
12 As 0.8420 0.5000 0.0000  6 Th 3.04-3.12, 3 As 3.35
13 As 0.3420 0.5000 0.0000  6 Th 3.04-3.12, 3 As 3.35
14 As 0.5000 0.0000 0.8420  6 Th 3.04-3.12, 3 As 3.35

no.,VASP energy (eV/f.u.),DOS at the Fermi energy (states/eV/f.u.)
1,-98.931,10.2
2,-50.249,1.1